The following is a PBE-GGA calculation of an optimized crystal structure of CrTcOs2, from Alexandria.

Properties
Magnetic moment, μB per formula unit: 0.02
Relative energy among the computed polymorphs, kJ/mol of formula units: 12.9
VASP energy, eV per atom: -10.5052
ΔE_f, eV per atom: 0.107

```
CrTcOs2
1.0
-0.918 -3.900 2.400
0.923 -2.519 3.823
-3.366 1.563 2.839
Cr Os Tc
1 2 1
direct
0.250 0.250 0.250 Cr
0.996 0.996 0.007 Os
0.504 0.504 0.493 Os
0.750 0.750 0.750 Tc
```